No. 1
Here is a relaxed structure of Li2La from Alexandria. Energies are from PBE.

Energy relative to the elements (kJ per mole of atoms): 10
DOS(E_F) (states/eV per atom): 0.94
Energy relative to the lowest polymorph listed for this composition (meV/atom): 7

Cell lengths 3.431, 3.431, 8.094 Å; angles 90.00, 90.00, 120.00 degrees
Sites, in units of the cell vectors:
1 Li 0.333 0.667 0.355
2 Li 0.667 0.333 0.645
3 La 0.000 0.000 0.000

No. 2
Here is a relaxed structure of Li4La3 from Alexandria. Energies are from PBE.

Energy relative to the elements (kJ per mole of atoms): 27
DOS(E_F) (states/eV per atom): 1.19

Cell lengths 6.753, 6.753, 5.482 Å; angles 90.00, 90.00, 120.00 degrees
Sites, in units of the cell vectors:
1 Li 0.000 0.000 0.237
2 Li 0.000 0.000 0.763
3 Li 0.333 0.667 0.000
4 Li 0.667 0.333 0.000
5 La 0.000 0.500 0.500
6 La 0.500 0.000 0.500
7 La 0.500 0.500 0.500

No. 3
Here is a relaxed structure of Li2La from Alexandria. Energies are from PBE.

Energy relative to the elements (kJ per mole of atoms): 21
DOS(E_F) (states/eV per atom): 1.15
Energy relative to the lowest polymorph listed for this composition (meV/atom): 122

Cell lengths 9.839, 9.839, 9.839 Å; angles 155.28, 155.28, 35.24 degrees
Sites, in units of the cell vectors:
1 Li 0.293 0.543 0.750
2 Li 0.457 0.707 0.750
3 Li 0.543 0.293 0.250
4 Li 0.707 0.457 0.250
5 La 0.125 0.875 0.250
6 La 0.875 0.125 0.750

No. 4
Here is a relaxed structure of Li3La2 from Alexandria. Energies are from PBE.

Energy relative to the elements (kJ per mole of atoms): 40
DOS(E_F) (states/eV per atom): 0.74
Energy relative to the lowest polymorph listed for this composition (meV/atom): 285

Cell lengths 5.129, 5.129, 6.997 Å; angles 90.00, 90.00, 120.00 degrees
Sites, in units of the cell vectors:
1 Li 0.000 0.000 0.000
2 Li 0.333 0.667 0.370
3 Li 0.667 0.333 0.630
4 La 0.333 0.667 0.880
5 La 0.667 0.333 0.120

Which of these has the highest energy relative to the elements?
Li3La2

Which of these has the lowest energy relative to the elements?
number 1